Here is an optimized crystal structure of TiMn2F8 from Alexandria via LeMat-Bulk. Energies are from GGA+U.

Results
Crystal system: trigonal
Electronic total energy in eV per atom: -6.3617
Relative energy among the computed polymorphs in meV/atom: 51

Unit cell a=6.4224 b=6.4224 c=4.2002 alpha=90.00 beta=90.00 gamma=120.00
Space group P-3m1 (No. 164)
Symmetry-distinct sites (fractional):
Ti: 0.0000 0.0000 0.0000
Mn: 0.3333 0.6667 0.2563
F: 0.1433 0.2866 0.2431
F: 0.3333 0.6667 0.7535